## KRhN3 (PBE-GGA)

Data for an optimized crystal structure of KRhN3.

Geometry as POSCAR:
```
KRhN3
1.0
4.0786 0.0000 0.0000
0.0000 4.0786 0.0000
0.0000 0.0000 4.0786
N K Rh
3 1 1
Direct
0.0000 0.0000 0.5000
0.5000 0.0000 0.0000
0.0000 0.5000 0.0000
0.0000 0.0000 0.0000
0.5000 0.5000 0.5000
```

Summary:
Magnetic moment = 0.0 μB/f.u.
Formation energy (no corrections) = 3.728 eV per atom